An optimized crystal structure of VCdO2. Source: the Alexandria database, functional PBE with a Hubbard U.

Values from the calculation:
space-group type	No. 166
magnetic moment	2.1	μB/f.u.
total DFT energy (no corrections)	-5.553	eV/atom

The structure in POSCAR format:
```
VCdO2
1.0
2.002 0.000 6.074
-1.001 1.733 6.074
-1.001 -1.733 6.074
Cd O V
1 2 1
direct
0.500 0.500 0.500 Cd
0.900 0.900 0.900 O
0.100 0.100 0.100 O
0.000 0.000 0.000 V
```